[1]
Entry from the Alexandria database: a relaxed structure of La6P2Br3F (PBE).

a = 7.119 Å, b = 12.344 Å, c = 7.770 Å
α = 90.00°, β = 108.06°, γ = 90.00°
Space group C2/m (No. 12)
Inequivalent atoms, fractional coordinates:
La: 0.235 0.165 0.210 (multiplicity 8)
La: 0.240 0.500 0.215 (multiplicity 4)
P: 0.000 0.334 0.000 (multiplicity 4)
Br: 0.000 0.174 0.500 (multiplicity 4)
Br: 0.000 0.500 0.500 (multiplicity 2)
F: 0.000 0.000 0.000 (multiplicity 2)

For the total energy, the calculation gives -0.4104 Ry/atom. The calculation puts the density of states at the Fermi level at 16.24 states/eV per cell. Its total magnetization is 0.000 Bohr magnetons per cell.

[2]
Entry from the Alexandria database: a relaxed structure of Rb2LaBrF6 (PBE).

a = 6.725 Å, b = 6.725 Å, c = 10.913 Å
α = 90.00°, β = 90.00°, γ = 90.00°
Space group I4/mmm (No. 139)
Inequivalent atoms, fractional coordinates:
Rb: 0.000 0.500 0.250 (multiplicity 4)
La: 0.000 0.000 0.000 (multiplicity 2)
Br: 0.000 0.000 0.500 (multiplicity 2)
F: 0.000 0.000 0.210 (multiplicity 4)
F: 0.243 0.243 0.000 (multiplicity 8)

For the total energy, the calculation gives -0.3388 Ry/atom. The calculation puts the density of states at the Fermi level at 0.00 states/eV per cell. Its total magnetization is 4.000 Bohr magnetons per cell.